VASP calculation (PBE) on crystalline AcLa2Be at its relaxed geometry.

It has space group P4/mmm (No. 123), with a = 3.727 Å, b = 3.727 Å, c = 9.179 Å, α = 90.00°, β = 90.00° and γ = 90.00°. Symmetry generates all atoms from Ac at (0.000, 0.000, 0.000), La at (0.500, 0.500, 0.323) and Be at (0.000, 0.000, 0.500).

The energy above the most stable polymorph in this dataset is 0.0000 eV per atom. The value obtained for the density of states at the Fermi level is 4.57 states/eV per cell. The calculated density comes out at 6.7 g/cm3. As for the spin magnetization: 0.000 μB per cell. As for the total energy: -4.301 eV/atom. As for the volume: 128 Å³ per cell. As for the energy of formation from the pure elements: 0.12 eV per atom.

VASP calculation (PBE) on crystalline Y6Ni2Rh at its relaxed geometry.

It has space group Immm (No. 71), with a = 9.519 Å, b = 9.522 Å, c = 9.550 Å, α = 90.00°, β = 90.00° and γ = 90.00°. Symmetry generates all atoms from Y at (0.000, 0.184, 0.242), Y at (0.190, 0.500, 0.328), Y at (0.238, 0.325, 0.000), Ni at (0.000, 0.338, 0.500), Ni at (0.000, 0.500, 0.119), Rh at (0.000, 0.000, 0.000) and Rh at (0.000, 0.000, 0.500).

The value obtained for the density of states at the Fermi level is 33.98 states/eV per cell. The calculated density comes out at 5.8 g/cm3. As for the spin magnetization: 0.000 μB per cell. As for the total energy: -6.804 eV/atom. As for the volume: 866 Å³ per cell. As for the energy of formation from the pure elements: -0.39 eV per atom.

VASP calculation (PBE) on crystalline CePa2PtN5 at its relaxed geometry.

It has space group I4/mcm (No. 140), with a = 6.556 Å, b = 6.556 Å, c = 11.631 Å, α = 90.00°, β = 90.00° and γ = 90.00°. Symmetry generates all atoms from Ce at (0.000, 0.000, 0.250), Pa at (0.170, 0.330, 0.000), Pt at (0.000, 0.500, 0.250), N at (0.000, 0.000, 0.000) and N at (0.160, 0.340, 0.374).

The value obtained for the density of states at the Fermi level is 32.25 states/eV per cell. The calculated density comes out at 11.5 g/cm3. As for the spin magnetization: 0.001 μB per cell. As for the total energy: -9.093 eV/atom. The formation energy from raw total energies comes out at -1.027 eV per atom. As for the volume: 500 Å³ per cell.

VASP calculation (PBE) on crystalline LaPd2Au at its relaxed geometry.

It has space group P4/mmm (No. 123), with a = 4.377 Å, b = 4.377 Å, c = 4.160 Å, α = 90.00°, β = 90.00° and γ = 90.00°. Symmetry generates all atoms from La at (0.000, 0.000, 0.000), Pd at (0.000, 0.500, 0.500) and Au at (0.500, 0.500, 0.000).

The value obtained for the density of states at the Fermi level is 1.31 states/eV per cell. The calculated density comes out at 11.4 g/cm3. As for the spin magnetization: 0.000 μB per cell. As for the total energy: -5.370 eV/atom. As for the volume: 80 Å³ per cell. As for the energy of formation from the pure elements: -0.72 eV per atom.

VASP calculation (PBE) on crystalline AcTiSb at its relaxed geometry.

It has space group P2_1/c (No. 14), with a = 6.378 Å, b = 7.190 Å, c = 8.491 Å, α = 90.00°, β = 113.78° and γ = 90.00°. Symmetry generates all atoms from Ac at (0.210, 0.152, 0.383), Ti at (0.216, 0.579, 0.542) and Sb at (0.360, 0.613, 0.267).

The energy above the most stable polymorph in this dataset is 0.0000 eV per atom. The value obtained for the density of states at the Fermi level is 16.23 states/eV per cell. The calculated density comes out at 7.4 g/cm3. As for the spin magnetization: 4.050 μB per cell. As for the total energy: -5.813 eV/atom. The formation energy from raw total energies comes out at -0.438 eV per atom. As for the volume: 356 Å³ per cell.

VASP calculation (PBE) on crystalline ScP2S2 at its relaxed geometry.

It has space group P4/mmm (No. 123), with a = 4.517 Å, b = 4.517 Å, c = 4.487 Å, α = 90.00°, β = 90.00° and γ = 90.00°. Symmetry generates all atoms from Sc at (0.000, 0.000, 0.000), P at (0.000, 0.500, 0.500), S at (0.500, 0.500, 0.000) and S at (0.500, 0.500, 0.500).

The energy above the most stable polymorph in this dataset is 0.2967 eV per atom. The value obtained for the density of states at the Fermi level is 3.08 states/eV per cell. The calculated density comes out at 3.1 g/cm3. As for the spin magnetization: 0.000 μB per cell. As for the total energy: -4.881 eV/atom. The formation energy from raw total energies comes out at 0.200 eV per atom. As for the volume: 92 Å³ per cell.

VASP calculation (PBE) on crystalline SrLa2Tl at its relaxed geometry.

It has space group Pmmm (No. 47), with a = 3.938 Å, b = 5.810 Å, c = 6.139 Å, α = 90.00°, β = 90.00° and γ = 90.00°. Symmetry generates all atoms from Sr at (0.000, 0.000, 0.000), La at (0.000, 0.500, 0.500), La at (0.500, 0.000, 0.500) and Tl at (0.500, 0.500, 0.000).

The energy above the most stable polymorph in this dataset is 0.1188 eV per atom. The value obtained for the density of states at the Fermi level is 5.78 states/eV per cell. The calculated density comes out at 6.7 g/cm3. As for the spin magnetization: 0.000 μB per cell. As for the total energy: -3.534 eV/atom. As for the volume: 140 Å³ per cell. As for the energy of formation from the pure elements: -0.06 eV per atom.

VASP calculation (PBE) on crystalline RbSiMo at its relaxed geometry.

It has space group P-1 (No. 2), with a = 3.165 Å, b = 4.173 Å, c = 12.778 Å, α = 89.80°, β = 88.20° and γ = 90.00°. Symmetry generates all atoms from Rb at (0.040, 0.254, 0.174), Si at (0.486, 0.249, 0.607) and Mo at (0.007, 0.251, 0.441).

The energy above the most stable polymorph in this dataset is 0.0924 eV per atom. The value obtained for the density of states at the Fermi level is 2.56 states/eV per cell. The calculated density comes out at 4.1 g/cm3. As for the spin magnetization: 0.000 μB per cell. As for the total energy: -5.518 eV/atom. The formation energy from raw total energies comes out at 0.223 eV per atom. As for the volume: 169 Å³ per cell.

VASP calculation (PBE) on crystalline TeRu2Pb at its relaxed geometry.

It has space group P2/m (No. 10), with a = 3.247 Å, b = 3.238 Å, c = 7.110 Å, α = 90.00°, β = 90.93° and γ = 90.00°. Symmetry generates all atoms from Te at (0.000, 0.000, 0.000), Ru at (0.490, 0.500, 0.784) and Pb at (0.000, 0.000, 0.500).

The energy above the most stable polymorph in this dataset is 0.0923 eV per atom. The value obtained for the density of states at the Fermi level is 4.06 states/eV per cell. The calculated density comes out at 11.9 g/cm3. As for the spin magnetization: 0.000 μB per cell. As for the total energy: -5.944 eV/atom. The formation energy from raw total energies comes out at 0.407 eV per atom. As for the volume: 75 Å³ per cell.

VASP calculation (PBE) on crystalline BaH2O2 at its relaxed geometry.

It has space group P2_1/c (No. 14), with a = 7.081 Å, b = 8.234 Å, c = 10.763 Å, α = 90.00°, β = 123.79° and γ = 90.00°. Symmetry generates all atoms from Ba at (0.084, 0.032, 0.336), Ba at (0.358, 0.623, 0.603), H at (0.174, 0.241, 0.633), H at (0.196, 0.159, 0.970), H at (0.308, 0.604, 0.209), H at (0.456, 0.743, 0.406), O at (0.112, 0.149, 0.100), O at (0.264, 0.152, 0.910), O at (0.292, 0.528, 0.132) and O at (0.294, 0.742, 0.826).

The value obtained for the density of states at the Fermi level is 0.00 states/eV per cell. The calculated density comes out at 4.4 g/cm3. As for the spin magnetization: 0.000 μB per cell. As for the total energy: -5.486 eV/atom. As for the volume: 522 Å³ per cell.

VASP calculation (PBE) on crystalline PuAg2As at its relaxed geometry.

It has space group R-3m (No. 166, hexagonal axes), with a = 2.9544 Å, b = 2.9544 Å, c = 32.8309 Å, α = 90.00°, β = 90.00° and γ = 120.00°. Symmetry generates all atoms from Pu at (0.0000, 0.0000, 0.0000), Ag at (0.0000, 0.0000, 0.0925) and As at (0.0000, 0.0000, 0.5000).

The value obtained for the density of states at the Fermi level is 20.74 states/eV per cell. The calculated density comes out at 10.7 g/cm3. As for the spin magnetization: 15.698 μB per cell. As for the total energy: -5.845 eV/atom. As for the volume: 248 Å³ per cell. As for the energy of formation from the pure elements: 0.33 eV per atom.

VASP calculation (PBE) on crystalline BeReSe at its relaxed geometry.

It has space group P3m1 (No. 156), with a = 3.0005 Å, b = 3.0005 Å, c = 5.6798 Å, α = 90.00°, β = 90.00° and γ = 120.00°. Symmetry generates all atoms from Be at (0.0000, 0.0000, 0.0000), Re at (0.3333, 0.6667, 0.3089) and Se at (0.6667, 0.3333, 0.6271).

The energy above the most stable polymorph in this dataset is 0.0157 eV per atom. The value obtained for the density of states at the Fermi level is 1.32 states/eV per cell. The calculated density comes out at 10.3 g/cm3. As for the spin magnetization: 0.000 μB per cell. As for the total energy: -6.247 eV/atom. The formation energy from raw total energies comes out at 0.306 eV per atom. As for the volume: 44 Å³ per cell.